Material: SrLaMg2Tc
Method: DFT, PBE-GGA
State: optimized geometry

Cell lengths 5.4612, 5.4612, 5.0589 Å; angles 90.00, 90.00, 90.00 degrees
Last column: nearest neighbours and their distance in Å.
Fractional coordinates of all 5 atoms:
Tc1 0.0000 0.0000 0.0000  2 La 2.53, 4 Mg 2.73
Sr1 0.5000 0.5000 0.5000  8 Mg 3.72, 4 La 3.86
La1 0.0000 0.0000 0.5000  2 Tc 2.53
Mg1 0.5000 0.0000 0.0000  2 Tc 2.73
Mg2 0.0000 0.5000 0.0000  2 Tc 2.73

Properties
- VASP energy: -19.6 eV/cell
- DOS at the Fermi energy: 4.75 states/eV per cell
- SG: P4/mmm, No. 123
- Formation energy from the elements: 0.107 eV/atom
- Total moment: 0.0 Bohr magnetons per cell

***

Material: Sr3La3MgTe8
Method: DFT, PBE-GGA
State: optimized geometry

Cell lengths 9.1858, 9.1865, 9.3481 Å; angles 119.43, 90.00, 120.01 degrees
Last column: nearest neighbours and their distance in Å.
Fractional coordinates of all 15 atoms:
Sr1 0.5000 0.5000 0.0000  6 Te 3.30-3.33
Sr2 0.0000 0.0000 0.0000  6 Te 3.30-3.33
Sr3 0.0000 0.5000 0.0000  6 Te 3.30-3.33
Te1 0.2425 0.0070 0.2715  1 Mg 3.09, 2 La 3.23, 2 Sr 3.33
Te2 0.7640 0.5280 0.2710  1 Mg 3.09, 2 La 3.23, 2 Sr 3.33
Te3 0.7575 0.9930 0.7285  1 Mg 3.09, 2 La 3.23, 2 Sr 3.33
Te4 0.2362 0.9930 0.7291  1 Mg 3.09, 2 La 3.23, 2 Sr 3.33
Te5 0.2520 0.5039 0.2559  3 La 3.25, 3 Sr 3.30
Te6 0.7638 0.0070 0.2709  1 Mg 3.09, 2 La 3.23, 2 Sr 3.33
Te7 0.7480 0.4961 0.7441  3 La 3.25, 3 Sr 3.30
Te8 0.2360 0.4720 0.7290  1 Mg 3.09, 2 La 3.23, 2 Sr 3.33
La1 0.0000 0.5000 0.5000  6 Te 3.23-3.25
La2 0.5000 0.5000 0.5000  6 Te 3.23-3.25
La3 0.5000 0.0000 0.5000  6 Te 3.23-3.25
Mg1 0.0000 0.0000 0.5000  6 Te 3.09

Properties
- VASP energy: -69.2 eV/cell
- DOS at the Fermi energy: 4.70 states/eV per cell
- SG: R-3m, No. 166
- Total moment: 0.0 Bohr magnetons per cell

***

Material: SrLaMg2Tl4
Method: DFT, PBE-GGA
State: optimized geometry

Cell lengths 5.4164, 5.4164, 9.4859 Å; angles 73.41, 73.41, 60.00 degrees
Last column: nearest neighbours and their distance in Å.
Fractional coordinates of all 8 atoms:
Mg1 0.2495 0.2495 0.2516  8 Tl 3.31-3.40
Mg2 0.7505 0.7505 0.7484  8 Tl 3.31-3.40
Tl1 0.6241 0.6241 0.1277  4 Mg 3.32-3.40, 3 Sr 3.33, 1 La 3.33
Tl2 0.3759 0.3759 0.8723  4 Mg 3.32-3.40, 3 Sr 3.33, 1 La 3.33
Tl3 0.1246 0.1246 0.6261  4 Mg 3.31-3.35, 3 La 3.32, 1 Sr 3.35
Tl4 0.8754 0.8754 0.3739  4 Mg 3.31-3.35, 3 La 3.32, 1 Sr 3.35
Sr1 0.0000 0.0000 0.0000  8 Tl 3.33-3.35
La1 0.5000 0.5000 0.5000  8 Tl 3.32-3.33

Properties
- VASP energy: -21.6 eV/cell
- DOS at the Fermi energy: 3.63 states/eV per cell
- SG: R-3m, No. 166
- Formation energy from the elements: -0.295 eV/atom
- Total moment: 0.0 Bohr magnetons per cell

***

Material: SrLaMgTl
Method: DFT, PBE-GGA
State: optimized geometry

Cell lengths 4.0385, 4.0385, 8.1920 Å; angles 90.00, 90.00, 90.00 degrees
Last column: nearest neighbours and their distance in Å.
Fractional coordinates of all 4 atoms:
Tl1 0.5000 0.5000 0.1225  4 La 3.43, 4 Sr 3.57
Mg1 0.5000 0.5000 0.5915  4 La 3.46, 4 Sr 3.61, 1 Tl 3.84
Sr1 0.0000 0.0000 0.8602  4 Tl 3.57, 4 Mg 3.61
La1 0.0000 0.0000 0.3537  4 Tl 3.43, 4 Mg 3.46

Properties
- VASP energy: -11.6 eV/cell
- DOS at the Fermi energy: 3.51 states/eV per cell
- SG: P4mm, No. 99
- Formation energy from the elements: -0.250 eV/atom
- Total moment: 0.0 Bohr magnetons per cell

***

Material: SrLa2MgTl4
Method: DFT, PBE-GGA
State: optimized geometry

Cell lengths 5.4958, 5.4958, 9.8811 Å; angles 73.85, 73.85, 60.00 degrees
Last column: nearest neighbours and their distance in Å.
Fractional coordinates of all 8 atoms:
La1 0.7585 0.7585 0.7245  7 Tl 3.27-3.44
La2 0.2415 0.2415 0.2755  7 Tl 3.27-3.44
Tl1 0.3778 0.3778 0.8665  3 Sr 3.41, 1 Mg 3.43, 3 La 3.44
Tl2 0.1251 0.1251 0.6247  4 La 3.27-3.31, 3 Mg 3.38, 1 Sr 3.51
Tl3 0.8749 0.8749 0.3753  4 La 3.27-3.31, 3 Mg 3.38, 1 Sr 3.51
Tl4 0.6222 0.6222 0.1335  3 Sr 3.41, 1 Mg 3.43, 3 La 3.44
Mg1 0.5000 0.5000 0.5000  8 Tl 3.38-3.43
Sr1 0.0000 0.0000 0.0000  8 Tl 3.41-3.51

Properties
- VASP energy: -25.3 eV/cell
- DOS at the Fermi energy: 6.16 states/eV per cell
- SG: R-3m, No. 166
- Formation energy from the elements: -0.341 eV/atom
- Total moment: 0.0 Bohr magnetons per cell

***

Material: SrLaMgTl
Method: DFT, PBE-GGA
State: optimized geometry

Cell lengths 5.7108, 5.7108, 5.7108 Å; angles 60.00, 60.00, 60.00 degrees
Last column: nearest neighbours and their distance in Å.
Fractional coordinates of all 4 atoms:
La1 0.2500 0.2500 0.2500  4 Tl 3.50, 4 Mg 3.50
Mg1 0.5000 0.5000 0.5000  4 La 3.50, 4 Sr 3.50
Tl1 0.0000 0.0000 0.0000  4 La 3.50, 4 Sr 3.50
Sr1 0.7500 0.7500 0.7500  4 Mg 3.50, 4 Tl 3.50

Properties
- VASP energy: -11.6 eV/cell
- DOS at the Fermi energy: 2.26 states/eV per cell
- SG: F-43m, No. 216
- Formation energy from the elements: -0.256 eV/atom
- Total moment: 0.0 Bohr magnetons per cell

***

Material: SrLaTmMg
Method: DFT, PBE-GGA
State: optimized geometry

Cell lengths 5.8128, 5.8128, 5.8128 Å; angles 60.00, 60.00, 60.00 degrees
Last column: nearest neighbours and their distance in Å.
Fractional coordinates of all 4 atoms:
Mg1 0.0000 0.0000 0.0000  4 La 3.56, 4 Sr 3.56
La1 0.7500 0.7500 0.7500  4 Mg 3.56, 4 Tm 3.56
Sr1 0.2500 0.2500 0.2500  4 Mg 3.56, 4 Tm 3.56
Tm1 0.5000 0.5000 0.5000  4 Sr 3.56, 4 La 3.56

Properties
- VASP energy: -12.2 eV/cell
- DOS at the Fermi energy: 3.75 states/eV per cell
- SG: F-43m, No. 216
- Formation energy from the elements: 0.122 eV/atom
- Total moment: 0.0 Bohr magnetons per cell

***

Material: Sr2LaYMg
Method: DFT, PBE-GGA
State: optimized geometry

Cell lengths 6.1615, 6.0807, 6.1615 Å; angles 90.00, 90.00, 90.00 degrees
Last column: nearest neighbours and their distance in Å.
Fractional coordinates of all 5 atoms:
Mg1 0.0000 0.0000 0.0000  2 La 3.04, 4 Sr 3.08
Sr1 0.0000 0.0000 0.5000  2 Mg 3.08
Sr2 0.5000 0.0000 0.0000  2 Mg 3.08
La1 0.0000 0.5000 0.0000  2 Mg 3.04
Y1 0.5000 0.5000 0.5000  8 Sr 4.33, 4 La 4.36

Properties
- VASP energy: -13.5 eV/cell
- DOS at the Fermi energy: 11.22 states/eV per cell
- SG: P4/mmm, No. 123
- Formation energy from the elements: 0.563 eV/atom
- Total moment: 0.1 Bohr magnetons per cell

***

Material: LaMg2Ta
Method: DFT, PBE-GGA
State: optimized geometry

Cell lengths 5.6407, 5.6407, 5.6407 Å; angles 132.99, 132.99, 68.68 degrees
Last column: nearest neighbours and their distance in Å.
Fractional coordinates of all 4 atoms:
Mg1 0.5000 0.5000 0.0000  4 Mg 3.18, 4 La 3.24, 4 Ta 3.24
Mg2 0.0000 0.0000 0.0000  4 Mg 3.18, 4 Ta 3.24, 4 La 3.24
La1 0.7500 0.2500 0.5000  4 Ta 3.18, 8 Mg 3.24
Ta1 0.2500 0.7500 0.5000  4 La 3.18, 8 Mg 3.24

Properties
- VASP energy: -18.4 eV/cell
- DOS at the Fermi energy: 5.38 states/eV per cell
- SG: I4/mmm, No. 139
- Formation energy from the elements: 0.393 eV/atom
- Total moment: 0.0 Bohr magnetons per cell

***

Material: La2MgTa
Method: DFT, PBE-GGA
State: optimized geometry

Cell lengths 5.3058, 5.3058, 5.3058 Å; angles 60.00, 60.00, 60.00 degrees
Last column: nearest neighbours and their distance in Å.
Fractional coordinates of all 4 atoms:
Ta1 0.7500 0.7500 0.7500  4 La 3.25, 4 Mg 3.25
La1 0.2500 0.2500 0.2500  4 La 3.25, 4 Mg 3.25
La2 0.0000 0.0000 0.0000  4 Ta 3.25, 4 La 3.25
Mg1 0.5000 0.5000 0.5000  4 La 3.25, 4 Ta 3.25

Properties
- VASP energy: -21.3 eV/cell
- DOS at the Fermi energy: 6.92 states/eV per cell
- SG: F-43m, No. 216
- Formation energy from the elements: 0.492 eV/atom
- Total moment: 0.0 Bohr magnetons per cell

***

Material: LaMgTa
Method: DFT, PBE-GGA
State: optimized geometry

Cell lengths 5.8524, 5.8524, 5.8524 Å; angles 148.42, 135.70, 55.42 degrees
Last column: nearest neighbours and their distance in Å.
Fractional coordinates of all 3 atoms:
Ta1 0.3150 0.3150 0.0000  4 Mg 3.03, 2 Ta 3.18, 5 La 3.28-3.32
Mg1 0.6865 0.6865 0.0000  4 Ta 3.03, 2 Mg 3.18, 5 La 3.23-3.35
La1 0.9985 0.9985 0.0000  2 La 3.18, 5 Mg 3.23-3.35, 5 Ta 3.28-3.32

Properties
- VASP energy: -17.0 eV/cell
- DOS at the Fermi energy: 3.34 states/eV per cell
- SG: Imm2, No. 44
- Formation energy from the elements: 0.472 eV/atom
- Total moment: 0.0 Bohr magnetons per cell

***

Material: La2MgTa
Method: DFT, PBE-GGA
State: optimized geometry

Cell lengths 5.8379, 5.8379, 5.8379 Å; angles 132.44, 132.44, 69.54 degrees
Last column: nearest neighbours and their distance in Å.
Fractional coordinates of all 4 atoms:
Mg1 0.5000 0.5000 0.0000  8 La 3.33-3.36, 4 Ta 3.36
Ta1 0.7500 0.2500 0.5000  8 La 3.33-3.36, 4 Mg 3.36
La1 0.0000 0.0000 0.0000  4 Mg 3.33, 4 La 3.36, 4 Ta 3.36
La2 0.2500 0.7500 0.5000  4 Ta 3.33, 4 La 3.36, 4 Mg 3.36

Properties
- VASP energy: -21.7 eV/cell
- DOS at the Fermi energy: 5.64 states/eV per cell
- SG: I-4m2, No. 119
- Formation energy from the elements: 0.394 eV/atom
- Total moment: 0.0 Bohr magnetons per cell